The following is a DFT calculation (GGA-PBE) of Rb2TmAlO4 after structural relaxation.

Raw total energy ... -6.03 eV/atom
V ... 24.0 A^3/atom

a b c (Å): 5.468 6.826 11.558
angles (deg): 84.56 76.32 66.39
Positions (direct):
Rb 0.183 0.000 0.634
Rb 0.567 0.500 0.866
Rb 0.933 0.500 0.134
Rb 0.817 0.000 0.366
O 0.243 0.169 0.920
O 0.162 0.331 0.420
O 0.507 0.331 0.580
O 0.418 0.669 0.420
O 0.913 0.669 0.580
O 0.837 0.831 0.920
O 0.332 0.831 0.080
O 0.588 0.169 0.080
Tm 0.000 0.000 0.000
Tm 0.750 0.500 0.500
Al 0.500 0.000 0.000
Al 0.250 0.500 0.500